(1)
ScPa5C6 | PBE | optimized geometry

extended XYZ file:
```
12
Lattice="3.090 -5.356 0.000 3.090 5.356 0.000 -2.062 0.000 5.830" Properties=species:S:1:pos:R:3 pbc="T T T"
Sc 0.000 0.000 0.000
Pa 2.059 3.583 2.915
Pa 3.090 1.787 0.000
Pa 2.059 0.000 2.915
Pa 3.090 -1.787 0.000
Pa 2.059 -3.583 2.915
C 1.038 1.803 1.464
C 0.016 0.000 4.371
C 1.038 -1.803 1.464
C 3.081 1.803 4.366
C 4.103 0.000 1.459
C 3.081 -1.803 4.366
```

Output
- DFT formation energy: -0.44 eV per atom
- Total moment: 0.00 μB/cell

=====

(2)
Na2NiAsW | PBE | optimized geometry

extended XYZ file:
```
5
Lattice="5.092 0.000 0.000 0.000 5.092 0.000 0.000 0.000 4.350" Properties=species:S:1:pos:R:3 pbc="T T T"
Na 0.000 2.546 0.000
Na 2.546 0.000 0.000
Ni 0.000 0.000 0.000
As 0.000 0.000 2.175
W 2.546 2.546 2.175
```

Output
- DFT formation energy: 1.16 eV per atom
- Total moment: 4.26 μB/cell

=====

The highest DFT formation energy belongs to which entry? Na2NiAsW

=====

What is the formula in the second record? Na2NiAsW

=====

Copy entry 2 word for word.
Na2NiAsW | PBE | optimized geometry

extended XYZ file:
```
5
Lattice="5.092 0.000 0.000 0.000 5.092 0.000 0.000 0.000 4.350" Properties=species:S:1:pos:R:3 pbc="T T T"
Na 0.000 2.546 0.000
Na 2.546 0.000 0.000
Ni 0.000 0.000 0.000
As 0.000 0.000 2.175
W 2.546 2.546 2.175
```

Output
- DFT formation energy: 1.16 eV per atom
- Total moment: 4.26 μB/cell

=====

Look up the total moment of the second one. 4.26 μB/cell